Density functional theory data (SCAN) for a PBEsol-optimized structure of CdIn.

abc: 4.558 4.558 5.600
angles: 90.00 90.00 120.00
Positions (direct):
1 In 0.667 0.333 0.750
2 In 0.333 0.667 0.250
3 Cd 0.000 0.000 0.000
4 Cd 0.000 0.000 0.500

Output
Energy of formation from the pure elements: 69 meV per atom
Mass density: 7.49 g cm⁻³
Symmetry: No. 194

***

Density functional theory data (SCAN) for a PBEsol-optimized structure of ZnNi2Rh.

abc: 3.658 3.658 4.385
angles: 114.65 114.65 90.00
Each line ends with the local moment (μB).
Positions (direct):
1 Rh 0.500 0.500 0.000  0.50
2 Zn 0.250 0.750 0.500  -0.03
3 Ni 0.750 0.250 0.500  0.93
4 Ni 0.000 0.000 0.000  0.61

Output
Energy of formation from the pure elements: -129 meV per atom
Mass density: 10.01 g cm⁻³
Symmetry: No. 119

***

Density functional theory data (SCAN) for a PBEsol-optimized structure of LiTcPd3.

abc: 4.723 4.723 4.723
angles: 90.00 90.00 90.00
Positions (direct):
1 Pd 0.000 0.500 0.000
2 Pd 0.500 0.000 0.000
3 Pd 0.000 0.000 0.500
4 Tc 0.000 0.000 0.000
5 Li 0.500 0.500 0.500

Output
Energy of formation from the pure elements: 911 meV per atom
Mass density: 6.69 g cm⁻³
Symmetry: No. 221